# 1
A crystal of MnHgSCl2 relaxed with PBEsol. Source: Alexandria, functional SCAN.

abc: 5.0350 5.0350 5.0479
angles: 90.00 90.00 90.00
With the nearest neighbours (Å) after each atom.
Positions (direct):
Mn 0.0000 0.0000 0.0000  4 S 3.56, 8 Cl 3.56
Hg 0.5000 0.5000 0.5000  4 Cl 2.52, 2 S 2.52
S 0.5000 0.5000 0.0000  2 Hg 2.52
Cl 0.0000 0.5000 0.5000  2 Hg 2.52
Cl 0.5000 0.0000 0.5000  2 Hg 2.52

Summary:
Formation energy without anion corrections   0.04 eV per atom
DOS(E_F)   1.1 states/eV/f.u.
V   128.0 Å³ per cell

# 2
A crystal of ZrTa2Ni relaxed with PBEsol. Source: Alexandria, functional SCAN.

abc: 2.9035 4.6714 5.0607
angles: 90.00 100.02 90.00
With the nearest neighbours (Å) after each atom.
Positions (direct):
Zr 0.0000 0.0000 0.0000  2 Ni 2.69, 4 Ta 2.86, 2 Zr 2.90
Ta 0.2799 0.5000 0.7445  5 Ta 2.68-2.98, 2 Ni 2.77, 2 Zr 2.86
Ta 0.7201 0.5000 0.2555  5 Ta 2.68-2.98, 2 Ni 2.77, 2 Zr 2.86
Ni 0.5000 0.0000 0.5000  2 Zr 2.69, 4 Ta 2.77, 2 Ni 2.90

Summary:
Relative energy among the computed polymorphs   177.5 meV per atom
Calculated formation energy   0.118 eV/atom
DOS(E_F)   4.2 states/eV/f.u.
V   67.6 Å³ per cell

# 3
A crystal of Ir5Cl relaxed with PBEsol. Source: Alexandria, functional SCAN.

abc: 4.3834 7.3913 7.3913
angles: 21.37 90.00 90.00
With the nearest neighbours (Å) after each atom.
Positions (direct):
Ir 0.0000 0.0000 0.0000  2 Cl 2.57, 10 Ir 2.74-2.85
Ir 0.0000 0.3280 0.3280  8 Ir 2.67-2.85, 4 Cl 2.83
Ir 0.0000 0.6705 0.6705  12 Ir 2.67-2.83
Ir 0.5000 0.2171 0.2171  10 Ir 2.64-2.74
Ir 0.5000 0.5620 0.5620  2 Cl 2.64, 10 Ir 2.64-2.74
Cl 0.5000 0.9070 0.9070  8 Ir 2.57-2.83, 2 Cl 2.74

Summary:
Formation energy without anion corrections   0.71 eV per atom
DOS(E_F)   6.6 states/eV/f.u.
V   87.3 Å³ per cell

# 4
A crystal of TaAlRh2 relaxed with PBEsol. Source: Alexandria, functional SCAN.

abc: 4.3700 4.3700 4.3700
angles: 60.00 60.00 60.00
With the nearest neighbours (Å) after each atom.
Positions (direct):
Ta 0.0000 0.0000 0.0000  4 Al 2.68, 4 Rh 2.68
Al 0.2500 0.2500 0.2500  4 Rh 2.68, 4 Ta 2.68
Rh 0.5000 0.5000 0.5000  4 Rh 2.68, 4 Al 2.68
Rh 0.7500 0.7500 0.7500  4 Rh 2.68, 4 Ta 2.68

Summary:
Calculated formation energy   -0.339 eV/atom
DOS(E_F)   4.2 states/eV/f.u.
V   59.0 Å³ per cell

# 5
A crystal of AgWAu2 relaxed with PBEsol. Source: Alexandria, functional SCAN.

abc: 2.7270 4.9096 4.9930
angles: 90.00 90.00 90.00
With the nearest neighbours (Å) after each atom.
Positions (direct):
Ag 0.0000 0.0000 0.0000  2 Ag 2.73, 4 Au 2.81, 4 W 2.84
W 0.5000 0.0000 0.5000  2 W 2.73, 4 Au 2.81, 4 Ag 2.84
Au 0.0000 0.5000 0.5000  6 Au 2.73-2.84, 4 W 2.81
Au 0.5000 0.5000 0.0000  6 Au 2.73-2.84, 4 Ag 2.81

Summary:
Relative energy among the computed polymorphs   243.8 meV per atom
Calculated formation energy   0.556 eV/atom
DOS(E_F)   1.7 states/eV/f.u.
V   66.8 Å³ per cell

# 6
A crystal of MgHgH2 relaxed with PBEsol. Source: Alexandria, functional SCAN.

abc: 4.1130 4.1130 4.1130
angles: 60.00 60.00 60.00
With the nearest neighbours (Å) after each atom.
Positions (direct):
Mg 0.0000 0.0000 0.0000  8 H 2.52
Hg 0.5000 0.5000 0.5000  8 H 2.52
H 0.2500 0.2500 0.2500  4 Hg 2.52, 4 Mg 2.52
H 0.7500 0.7500 0.7500  4 Hg 2.52, 4 Mg 2.52

Summary:
E_tot   -19.60 eV per atom
DOS(E_F)   1.0 states/eV/f.u.
V   49.2 Å³ per cell

# 7
A crystal of Mo3Pt relaxed with PBEsol. Source: Alexandria, functional SCAN.

abc: 8.3681 8.3681 8.3681
angles: 152.98 152.98 38.58
With the nearest neighbours (Å) after each atom.
Positions (direct):
Mo 0.0000 0.5000 0.5000  8 Mo 2.73-2.76, 4 Pt 2.79
Mo 0.1202 0.1202 0.0000  8 Mo 2.73-2.83, 4 Pt 2.77
Mo 0.2500 0.7500 0.5000  8 Mo 2.76-2.83, 4 Pt 2.77
Mo 0.5000 0.0000 0.5000  8 Mo 2.73-2.76, 4 Pt 2.79
Mo 0.7500 0.2500 0.5000  8 Mo 2.76-2.83, 4 Pt 2.77
Mo 0.8798 0.8798 0.0000  8 Mo 2.73-2.83, 4 Pt 2.77
Pt 0.3741 0.3741 0.0000  12 Mo 2.77-2.79
Pt 0.6259 0.6259 0.0000  12 Mo 2.77-2.79

Summary:
Relative energy among the computed polymorphs   40.5 meV per atom
Calculated formation energy   -0.128 eV/atom
DOS(E_F)   2.8 states/eV/f.u.
V   120.7 Å³ per cell

# 8
A crystal of CuAuN2 relaxed with PBEsol. Source: Alexandria, functional SCAN.

abc: 5.9444 5.9444 5.9444
angles: 30.92 30.92 30.92
With the nearest neighbours (Å) after each atom.
Positions (direct):
Cu 0.0000 0.0000 0.0000  2 N 1.82
Au 0.5000 0.5000 0.5000  6 N 2.09
N 0.1072 0.1072 0.1072  1 Cu 1.82
N 0.8928 0.8928 0.8928  1 Cu 1.82

Summary:
Formation energy without anion corrections   0.98 eV per atom
V   49.2 Å³ per cell

# 9
A crystal of K2Hg3Ge2Se8 relaxed with PBEsol. Source: Alexandria, functional SCAN.

abc: 19.9239 6.6151 6.6151
angles: 98.59 90.00 90.00
With the nearest neighbours (Å) after each atom.
Positions (direct):
K 0.1180 0.2061 0.7939  7 Se 3.27-3.58
K 0.3820 0.7061 0.2939  7 Se 3.27-3.58
K 0.6180 0.2939 0.7061  7 Se 3.27-3.58
K 0.8820 0.7939 0.2061  7 Se 3.27-3.58
Hg 0.0000 0.6477 0.6477  2 Se 2.49
Hg 0.2418 0.2526 0.3457  3 Se 2.57-2.83
Hg 0.2582 0.7526 0.8457  3 Se 2.57-2.83
Hg 0.5000 0.1477 0.1477  2 Se 2.49
Hg 0.7418 0.8457 0.7526  3 Se 2.57-2.83
Hg 0.7582 0.3457 0.2526  3 Se 2.57-2.83
Ge 0.1328 0.7060 0.2810  4 Se 2.33-2.40
Ge 0.3672 0.2060 0.7810  4 Se 2.33-2.40
Ge 0.6328 0.7810 0.2060  4 Se 2.33-2.40
Ge 0.8672 0.2810 0.7060  4 Se 2.33-2.40
Se 0.0342 0.8884 0.4111  1 Ge 2.40, 1 Hg 2.49
Se 0.1182 0.3596 0.3280  1 Ge 2.38, 1 Hg 2.57
Se 0.1318 0.7490 0.9309  1 Ge 2.38, 1 Hg 2.58
Se 0.2300 0.8490 0.4370  1 Ge 2.33
Se 0.2700 0.3491 0.9370  1 Ge 2.33
Se 0.3682 0.2490 0.4309  1 Ge 2.38, 1 Hg 2.58
Se 0.3818 0.8596 0.8280  1 Ge 2.38, 1 Hg 2.57
Se 0.4658 0.3884 0.9111  1 Ge 2.40, 1 Hg 2.49
Se 0.5342 0.9111 0.3884  1 Ge 2.40, 1 Hg 2.49
Se 0.6182 0.8280 0.8596  1 Ge 2.38, 1 Hg 2.57
Se 0.6318 0.4309 0.2490  1 Ge 2.38, 1 Hg 2.58
Se 0.7300 0.9370 0.3491  1 Ge 2.33
Se 0.7700 0.4370 0.8490  1 Ge 2.33
Se 0.8682 0.9309 0.7490  1 Ge 2.38, 1 Hg 2.58
Se 0.8818 0.3280 0.3596  1 Ge 2.38, 1 Hg 2.57
Se 0.9658 0.4111 0.8884  1 Ge 2.40, 1 Hg 2.49

Summary:
Formation energy without anion corrections   -0.57 eV per atom
V   862.1 Å³ per cell

# 10
A crystal of LiGd2In relaxed with PBEsol. Source: Alexandria, functional SCAN.

abc: 5.2491 5.2491 5.2491
angles: 60.00 60.00 60.00
With the nearest neighbours (Å) after each atom.
Positions (direct):
Li 0.0000 0.0000 0.0000  8 Gd 3.21
Gd 0.2500 0.2500 0.2500  4 In 3.21, 4 Li 3.21
Gd 0.7500 0.7500 0.7500  4 In 3.21, 4 Li 3.21
In 0.5000 0.5000 0.5000  8 Gd 3.21

Summary:
Calculated formation energy   -0.351 eV/atom
DOS(E_F)   2.6 states/eV/f.u.
V   102.3 Å³ per cell

# 11
A crystal of InRe2W relaxed with PBEsol. Source: Alexandria, functional SCAN.

abc: 9.2764 9.2764 9.2764
angles: 17.70 17.70 17.70
With the nearest neighbours (Å) after each atom.
Positions (direct):
In 0.0000 0.0000 0.0000  6 In 2.85, 6 Re 2.92
Re 0.2452 0.2452 0.2452  3 W 2.71, 6 Re 2.85, 3 In 2.92
Re 0.7548 0.7548 0.7548  3 W 2.71, 6 Re 2.85, 3 In 2.92
W 0.5000 0.5000 0.5000  6 Re 2.71, 6 W 2.85

Summary:
Calculated formation energy   0.410 eV/atom
DOS(E_F)   2.4 states/eV/f.u.
V   64.4 Å³ per cell

# 12
A crystal of ReNiW2 relaxed with PBEsol. Source: Alexandria, functional SCAN.

abc: 2.6609 2.6609 8.3296
angles: 90.00 90.00 105.69
With the nearest neighbours (Å) after each atom.
Positions (direct):
Re 0.0000 0.0000 0.0000  2 Ni 2.52, 4 Re 2.66, 2 W 2.72
Ni 0.5000 0.5000 0.2326  2 Re 2.52, 2 W 2.53, 4 Ni 2.66
W 0.0000 0.0000 0.4675  2 Ni 2.53, 6 W 2.66-2.76
W 0.5000 0.5000 0.7371  6 W 2.66-2.76, 2 Re 2.72

Summary:
Relative energy among the computed polymorphs   44.9 meV per atom
Calculated formation energy   0.112 eV/atom
DOS(E_F)   2.8 states/eV/f.u.
V   56.8 Å³ per cell

Density: 4.652; 12.573; 18.961; 11.643; 17.031; 7.659; 13.282; 9.739; 5.613; 7.084; 17.307; 17.916 (Mg/m³)